A plane-wave DFT calculation with GGA-PBE was carried out for a relaxed structure of Na4GaHg5. Values from VASP.

Quantum ESPRESSO input file:
```
&SYSTEM
  ibrav = 0, nat = 10, ntyp = 3
/
ATOMIC_SPECIES
Ga 69.72 Ga.upf
Hg 200.59 Hg.upf
Na 22.99 Na.upf
CELL_PARAMETERS angstrom
-0.4422 -2.8848 2.3291
3.6502 -0.7499 -0.2358
3.1318 10.8377 14.0181
ATOMIC_POSITIONS angstrom
Ga 0.0000 0.0000 0.0000
Hg 1.8906 -0.8255 2.3296
Hg 2.5310 1.3905 5.1958
Hg 4.4492 8.0285 13.7818
Hg 3.8089 5.8126 10.9155
Hg 3.1699 3.6015 8.0557
Na 0.5946 2.0575 2.6613
Na 1.2435 4.3030 5.5657
Na 1.8884 6.5347 8.4524
Na 2.5373 8.7802 11.3568
```

Properties
Total moment in Bohr magnetons per cell: 0.000
V in Å³/cell: 251
E in eV per atom: -1.18
DFT formation energy in meV/atom: -197.1



A plane-wave DFT calculation with GGA-PBE was carried out for a relaxed structure of BaScIn2. Values from VASP.

Quantum ESPRESSO input file:
```
&SYSTEM
  ibrav = 0, nat = 4, ntyp = 3
/
ATOMIC_SPECIES
Ba 137.33 Ba.upf
In 114.82 In.upf
Sc 44.96 Sc.upf
CELL_PARAMETERS angstrom
5.9666 0.0027 0.0000
-1.6131 5.7444 0.0000
0.0000 0.0000 3.4275
ATOMIC_POSITIONS angstrom
Ba -0.8065 2.8722 1.7138
In 2.1767 2.8736 0.0000
In 0.0000 0.0000 0.0000
Sc 2.9833 0.0014 1.7138
```

Properties
Total moment in Bohr magnetons per cell: 0.112
V in Å³/cell: 117
E in eV per atom: -3.61
DFT formation energy in meV/atom: -176.4



A plane-wave DFT calculation with GGA-PBE was carried out for a relaxed structure of Sc6Al5Ga. Values from VASP.

Quantum ESPRESSO input file:
```
&SYSTEM
  ibrav = 0, nat = 12, ntyp = 3
/
ATOMIC_SPECIES
Sc 44.96 Sc.upf
Al 26.98 Al.upf
Ga 69.72 Ga.upf
CELL_PARAMETERS angstrom
-0.6784 -3.7806 2.8465
2.0229 -4.0812 -4.9374
6.4278 -1.3521 3.7509
ATOMIC_POSITIONS angstrom
Sc 5.7147 -4.5919 -0.7212
Sc 1.1866 -4.9685 -2.3009
Sc 3.0705 -6.6655 -0.0908
Sc 2.0577 -4.6221 2.3811
Sc 4.7019 -2.5484 1.7507
Sc 0.1579 -2.8934 0.2099
Al 4.8363 -5.4631 1.9267
Al 2.9360 -3.7509 -0.2668
Al 1.9619 -1.7073 2.2148
Al 3.7875 -3.4254 4.3826
Al 1.0115 -2.0406 -2.4687
Ga 0.0000 0.0000 0.0000
```

Properties
Total moment in Bohr magnetons per cell: 0.000
V in Å³/cell: 230
E in eV per atom: -5.45
DFT formation energy in meV/atom: -468.4